No. 1
# Ba8S6Br

Ba8S6Br after structural relaxation (PBE, the Alexandria database).

The structure in CIF format:
```
data_Ba8S6Br
_chemical_formula_sum 'Ba8 S6 Br1'
_symmetry_space_group_name_H-M 'P 1'
_symmetry_Int_Tables_number 1
_symmetry_space_group_name_Hall 'P 1'
_cell_length_a 4.6793
_cell_length_b 11.9653
_cell_length_c 11.9653
_cell_angle_alpha 120.00
_cell_angle_beta 90.00
_cell_angle_gamma 90.00
loop_
_atom_site_label
_atom_site_type_symbol
_atom_site_fract_x
_atom_site_fract_y
_atom_site_fract_z
Ba1 Ba 0.7457 0.9615 0.3199
Ba2 Ba 0.7457 0.6801 0.6416
Ba3 Ba 0.7457 0.3584 0.0385
Ba4 Ba 0.2543 0.0385 0.6801
Ba5 Ba 0.2543 0.3199 0.3584
Ba6 Ba 0.2543 0.6416 0.9615
Ba7 Ba 0.7491 0.3333 0.6667
Ba8 Ba 0.2509 0.6667 0.3333
S1 S 0.7526 0.6593 0.1367
S2 S 0.7526 0.8633 0.5226
S3 S 0.7526 0.4774 0.3407
S4 S 0.2474 0.3407 0.8633
S5 S 0.2474 0.1367 0.4774
S6 S 0.2474 0.5226 0.6593
Br1 Br 0.5000 0.0000 0.0000
```

Computed properties:
space group	No. 147
D(E_F)	8.9	states/eV per cell
formation energy without anion corrections	-1.70	eV per atom
calculated volume	38.7	A^3/atom

---

No. 2
# BaS2Br

BaS2Br after structural relaxation (PBE, the Alexandria database).

The structure in CIF format:
```
data_BaS2Br
_chemical_formula_sum 'Ba1 S2 Br1'
_symmetry_space_group_name_H-M 'P 1'
_symmetry_Int_Tables_number 1
_symmetry_space_group_name_Hall 'P 1'
_cell_length_a 5.6824
_cell_length_b 5.6824
_cell_length_c 5.6824
_cell_angle_alpha 53.64
_cell_angle_beta 53.64
_cell_angle_gamma 53.64
loop_
_atom_site_label
_atom_site_type_symbol
_atom_site_fract_x
_atom_site_fract_y
_atom_site_fract_z
S1 S 0.7897 0.7897 0.7897
S2 S 0.2103 0.2103 0.2103
Ba1 Ba 0.0000 0.0000 0.0000
Br1 Br 0.5000 0.5000 0.5000
```

Computed properties:
space group	No. 166
polymorph energy (0 for the lowest one)	613	meV/atom
D(E_F)	4.0	states/eV per cell
formation energy without anion corrections	-0.50	eV per atom
calculated volume	27.6	A^3/atom

---

No. 3
# Ba3S2Br2

Ba3S2Br2 after structural relaxation (PBE, the Alexandria database).

The structure in CIF format:
```
data_Ba3S2Br2
_chemical_formula_sum 'Ba3 S2 Br2'
_symmetry_space_group_name_H-M 'P 1'
_symmetry_Int_Tables_number 1
_symmetry_space_group_name_Hall 'P 1'
_cell_length_a 4.5444
_cell_length_b 8.4903
_cell_length_c 7.9868
_cell_angle_alpha 102.17
_cell_angle_beta 106.53
_cell_angle_gamma 90.00
loop_
_atom_site_label
_atom_site_type_symbol
_atom_site_fract_x
_atom_site_fract_y
_atom_site_fract_z
Ba1 Ba 0.0000 0.0000 0.0000
Ba2 Ba 0.2240 0.7627 0.4480
Ba3 Ba 0.7760 0.2373 0.5520
S1 S 0.3700 0.0829 0.7400
S2 S 0.6300 0.9171 0.2600
Br1 Br 0.1432 0.3598 0.2864
Br2 Br 0.8568 0.6402 0.7136
```

Computed properties:
space group	No. 12
D(E_F)	0.0	states/eV per cell
formation energy without anion corrections	-2.09	eV per atom
calculated volume	41.2	A^3/atom

---

No. 4
# Ba4S3Br

Ba4S3Br after structural relaxation (PBE, the Alexandria database).

The structure in CIF format:
```
data_Ba4S3Br
_chemical_formula_sum 'Ba4 S3 Br1'
_symmetry_space_group_name_H-M 'P 1'
_symmetry_Int_Tables_number 1
_symmetry_space_group_name_Hall 'P 1'
_cell_length_a 4.5760
_cell_length_b 7.9505
_cell_length_c 7.9505
_cell_angle_alpha 70.75
_cell_angle_beta 89.99
_cell_angle_gamma 89.99
loop_
_atom_site_label
_atom_site_type_symbol
_atom_site_fract_x
_atom_site_fract_y
_atom_site_fract_z
S1 S 0.5000 0.0001 0.4999
S2 S 0.0000 0.0001 0.0000
S3 S 0.9999 0.5001 0.5000
Ba1 Ba 0.0000 0.7672 0.7329
Ba2 Ba 0.5002 0.7582 0.2581
Ba3 Ba 0.0000 0.2331 0.2670
Ba4 Ba 0.4997 0.2420 0.7419
Br1 Br 0.5000 0.5001 0.0000
```

Computed properties:
space group	No. 65
polymorph energy (0 for the lowest one)	0	meV/atom
D(E_F)	3.3	states/eV per cell
formation energy without anion corrections	-1.98	eV per atom
calculated volume	34.1	A^3/atom

---

No. 5
# BaS5Br

BaS5Br after structural relaxation (PBE, the Alexandria database).

The structure in CIF format:
```
data_BaS5Br
_chemical_formula_sum 'Ba2 S10 Br2'
_symmetry_space_group_name_H-M 'P 1'
_symmetry_Int_Tables_number 1
_symmetry_space_group_name_Hall 'P 1'
_cell_length_a 10.5001
_cell_length_b 9.1169
_cell_length_c 9.3158
_cell_angle_alpha 92.45
_cell_angle_beta 91.15
_cell_angle_gamma 149.11
loop_
_atom_site_label
_atom_site_type_symbol
_atom_site_fract_x
_atom_site_fract_y
_atom_site_fract_z
Ba1 Ba 0.0000 0.0000 0.0000
Ba2 Ba 0.5000 0.5000 0.5000
S1 S 0.1078 0.5127 0.0388
S2 S 0.7764 0.0868 0.6213
S3 S 0.1247 0.7115 0.5502
S4 S 0.9814 0.8470 0.3213
S5 S 0.3972 0.8198 0.9272
S6 S 0.6027 0.1802 0.0728
S7 S 0.0186 0.1531 0.6787
S8 S 0.8754 0.2885 0.4498
S9 S 0.2236 0.9133 0.3787
S10 S 0.8921 0.4873 0.9612
Br1 Br 0.5272 0.6515 0.1805
Br2 Br 0.4727 0.3485 0.8195
```

Computed properties:
space group	No. 2
D(E_F)	0.0	states/eV per cell
formation energy without anion corrections	-0.68	eV per atom
calculated volume	32.5	A^3/atom

---

No. 6
# Ba4S3Br

Ba4S3Br after structural relaxation (PBE, the Alexandria database).

The structure in CIF format:
```
data_Ba4S3Br
_chemical_formula_sum 'Ba4 S3 Br1'
_symmetry_space_group_name_H-M 'P 1'
_symmetry_Int_Tables_number 1
_symmetry_space_group_name_Hall 'P 1'
_cell_length_a 6.4799
_cell_length_b 6.4799
_cell_length_c 6.4799
_cell_angle_alpha 90.00
_cell_angle_beta 90.00
_cell_angle_gamma 90.00
loop_
_atom_site_label
_atom_site_type_symbol
_atom_site_fract_x
_atom_site_fract_y
_atom_site_fract_z
Ba1 Ba 0.5000 0.0000 0.0000
Ba2 Ba 0.0000 0.5000 0.0000
Ba3 Ba 0.0000 0.0000 0.5000
Ba4 Ba 0.5000 0.5000 0.5000
S1 S 0.0000 0.5000 0.5000
S2 S 0.5000 0.0000 0.5000
S3 S 0.5000 0.5000 0.0000
Br1 Br 0.0000 0.0000 0.0000
```

Computed properties:
space group	No. 221
polymorph energy (0 for the lowest one)	33	meV/atom
D(E_F)	2.5	states/eV per cell
formation energy without anion corrections	-1.94	eV per atom
calculated volume	34.0	A^3/atom

---

No. 7
# BaS2Br

BaS2Br after structural relaxation (PBE, the Alexandria database).

The structure in CIF format:
```
data_BaS2Br
_chemical_formula_sum 'Ba2 S4 Br2'
_symmetry_space_group_name_H-M 'P 1'
_symmetry_Int_Tables_number 1
_symmetry_space_group_name_Hall 'P 1'
_cell_length_a 5.7438
_cell_length_b 5.7438
_cell_length_c 9.3003
_cell_angle_alpha 72.01
_cell_angle_beta 72.01
_cell_angle_gamma 90.00
loop_
_atom_site_label
_atom_site_type_symbol
_atom_site_fract_x
_atom_site_fract_y
_atom_site_fract_z
S1 S 0.5519 0.1250 0.2500
S2 S 0.1981 0.6250 0.2500
S3 S 0.3750 0.4481 0.7500
S4 S 0.8750 0.8019 0.7500
Ba1 Ba 0.0000 0.0000 0.0000
Ba2 Ba 0.7500 0.2500 0.5000
Br1 Br 0.5000 0.5000 0.0000
Br2 Br 0.2500 0.7500 0.5000
```

Computed properties:
space group	No. 122
polymorph energy (0 for the lowest one)	669	meV/atom
D(E_F)	2.1	states/eV per cell
formation energy without anion corrections	-0.44	eV per atom
calculated volume	34.5	A^3/atom

---

No. 8
# BaS4Br

BaS4Br after structural relaxation (PBE, the Alexandria database).

The structure in CIF format:
```
data_BaS4Br
_chemical_formula_sum 'Ba2 S8 Br2'
_symmetry_space_group_name_H-M 'P 1'
_symmetry_Int_Tables_number 1
_symmetry_space_group_name_Hall 'P 1'
_cell_length_a 6.4738
_cell_length_b 22.6518
_cell_length_c 11.8831
_cell_angle_alpha 27.30
_cell_angle_beta 40.42
_cell_angle_gamma 31.16
loop_
_atom_site_label
_atom_site_type_symbol
_atom_site_fract_x
_atom_site_fract_y
_atom_site_fract_z
Ba1 Ba 0.7050 0.6817 0.6503
Ba2 Ba 0.2950 0.3183 0.3497
S1 S 0.3350 0.5538 0.4076
S2 S 0.9689 0.8652 0.9761
S3 S 0.8157 0.0118 0.4972
S4 S 0.4835 0.9216 0.0154
S5 S 0.6650 0.4462 0.5924
S6 S 0.1843 0.9882 0.5028
S7 S 0.0311 0.1348 0.0239
S8 S 0.5165 0.0784 0.9846
Br1 Br 0.7825 0.3784 0.2278
Br2 Br 0.2175 0.6216 0.7722
```

Computed properties:
space group	No. 2
D(E_F)	1.1	states/eV per cell
formation energy without anion corrections	-0.76	eV per atom
calculated volume	34.5	A^3/atom

---

No. 9
# Ba4S2Br3

Ba4S2Br3 after structural relaxation (PBE, the Alexandria database).

The structure in CIF format:
```
data_Ba4S2Br3
_chemical_formula_sum 'Ba4 S2 Br3'
_symmetry_space_group_name_H-M 'P 1'
_symmetry_Int_Tables_number 1
_symmetry_space_group_name_Hall 'P 1'
_cell_length_a 4.5758
_cell_length_b 8.1450
_cell_length_c 10.1990
_cell_angle_alpha 97.21
_cell_angle_beta 90.00
_cell_angle_gamma 106.31
loop_
_atom_site_label
_atom_site_type_symbol
_atom_site_fract_x
_atom_site_fract_y
_atom_site_fract_z
Ba1 Ba 0.3611 0.7222 0.1140
Ba2 Ba 0.8480 0.6959 0.6821
Ba3 Ba 0.1520 0.3041 0.3179
Ba4 Ba 0.6389 0.2778 0.8860
S1 S 0.7321 0.4642 0.1671
S2 S 0.2679 0.5357 0.8329
Br1 Br 0.6364 0.2728 0.5479
Br2 Br 0.0000 0.0000 0.0000
Br3 Br 0.3636 0.7272 0.4521
```

Computed properties:
space group	No. 12
D(E_F)	3.7	states/eV per cell
formation energy without anion corrections	-1.91	eV per atom
calculated volume	40.2	A^3/atom

---

No. 10
# BaS8Br2

BaS8Br2 after structural relaxation (PBE, the Alexandria database).

The structure in CIF format:
```
data_BaS8Br2
_chemical_formula_sum 'Ba1 S8 Br2'
_symmetry_space_group_name_H-M 'P 1'
_symmetry_Int_Tables_number 1
_symmetry_space_group_name_Hall 'P 1'
_cell_length_a 11.2503
_cell_length_b 7.7309
_cell_length_c 7.7309
_cell_angle_alpha 121.00
_cell_angle_beta 108.92
_cell_angle_gamma 108.92
loop_
_atom_site_label
_atom_site_type_symbol
_atom_site_fract_x
_atom_site_fract_y
_atom_site_fract_z
Ba1 Ba 0.0000 0.0000 0.0000
S1 S 0.0452 0.1687 0.5662
S2 S 0.9548 0.4338 0.8313
S3 S 0.8795 0.3192 0.3192
S4 S 0.1205 0.6808 0.6808
S5 S 0.0452 0.5662 0.1687
S6 S 0.9548 0.8313 0.4338
S7 S 0.2614 0.6175 0.6175
S8 S 0.7386 0.3825 0.3825
Br1 Br 0.3469 0.2074 0.2074
Br2 Br 0.6531 0.7926 0.7926
```

Computed properties:
space group	No. 12
D(E_F)	4.2	states/eV per cell
formation energy without anion corrections	-0.17	eV per atom
calculated volume	39.4	A^3/atom